CaSc2Ag2: relaxed, GGA-PBE.

Lattice parameters (Å, degrees): 7.2575 7.2575 7.2575 144.90 144.90 50.49
Fractional coordinates of all 5 atoms:
Ca (0.0000, 0.0000, 0.0000)
Sc (0.2500, 0.7500, 0.5000)
Sc (0.7500, 0.2500, 0.5000)
Ag (0.3949, 0.3949, 0.0000)
Ag (0.6051, 0.6051, 0.0000)

Formation energy = -0.10 eV/atom
Excess energy over the best structure of this formula in the dataset = 0.23 eV per formula unit
Energy = -4.17 eV/atom